Record 1
This record from the Alexandria database describes a relaxed PuTiI2 crystal. The functional is PBE.

Its size of the total moment is 1.76 μB per atom. As for the formation energy from raw total energies: -0.12 eV/atom. The density of states at the Fermi level is 33.89 states/eV per cell.

It has space group R-3m (No. 166, hexagonal axes), with a = 3.6541 Å, b = 3.6541 Å, c = 30.8083 Å, α = 90.00°, β = 90.00° and γ = 120.00°. The inequivalent atoms are Pu at (0.0000, 0.0000, 0.0000), Ti at (0.0000, 0.0000, 0.5000) and I at (0.0000, 0.0000, 0.1058).

=====

Record 2
This record from the Alexandria database describes a relaxed PuTiI4 crystal. The functional is PBE.

Its size of the total moment is 1.33 μB per atom. As for the formation energy from raw total energies: -0.86 eV/atom. The density of states at the Fermi level is 26.12 states/eV per cell.

It has space group C2/m (No. 12), with a = 15.728 Å, b = 4.281 Å, c = 7.242 Å, α = 90.00°, β = 102.55° and γ = 90.00°. The inequivalent atoms are Pu at (0.000, 0.000, 0.000), Ti at (0.000, 0.500, 0.500), I at (0.113, 0.000, 0.411) and I at (0.122, 0.500, 0.872).

=====

Record 3
This record from the Alexandria database describes a relaxed PuTl6I8 crystal. The functional is PBE.

Its size of the total moment is 0.40 μB per atom. As for the formation energy from raw total energies: -0.69 eV/atom. The density of states at the Fermi level is 21.79 states/eV per cell.

It has space group P-3 (No. 147), with a = 10.5352 Å, b = 10.5352 Å, c = 6.8835 Å, α = 90.00°, β = 90.00° and γ = 120.00°. The inequivalent atoms are Pu at (0.0000, 0.0000, 0.0000), Tl at (0.0009, 0.6211, 0.2172), I at (0.9996, 0.2549, 0.2515) and I at (0.3333, 0.6667, 0.9999).

=====

Q: Which of these has the lowest formation energy from raw total energies?
A: PuTiI4

=====

What did the third record say?
This record from the Alexandria database describes a relaxed PuTl6I8 crystal. The functional is PBE.

Its size of the total moment is 0.40 μB per atom. As for the formation energy from raw total energies: -0.69 eV/atom. The density of states at the Fermi level is 21.79 states/eV per cell.

It has space group P-3 (No. 147), with a = 10.5352 Å, b = 10.5352 Å, c = 6.8835 Å, α = 90.00°, β = 90.00° and γ = 120.00°. The inequivalent atoms are Pu at (0.0000, 0.0000, 0.0000), Tl at (0.0009, 0.6211, 0.2172), I at (0.9996, 0.2549, 0.2515) and I at (0.3333, 0.6667, 0.9999).